RbNa3As | PBE | relaxed

Output
Formation energy ... -0.238 eV per atom

Unit cell a=8.1473 b=8.1473 c=8.1473 alpha=117.57 beta=90.51 gamma=121.89
With the nearest neighbours (Å) after each atom.
Sites, in units of the cell vectors:
1 Rb 0.3823 0.1323 0.2500  5 Na 3.62-4.01
2 Rb 0.6177 0.8677 0.7500  5 Na 3.62-4.01
3 Na 0.1609 0.4109 0.7500  2 As 2.95
4 Na 0.2139 0.0000 0.7139  2 As 2.92
5 Na 0.2139 0.5000 0.2139  2 As 2.92
6 Na 0.7861 0.0000 0.2861  2 As 2.92
7 Na 0.7861 0.5000 0.7861  2 As 2.92
8 Na 0.8391 0.5891 0.2500  2 As 2.95
9 As 0.0000 0.5000 0.5000  6 Na 2.92-2.95
10 As 0.5000 0.5000 0.0000  6 Na 2.92-2.95